# 1
ZnFe, relaxed, DFT PBE; DOS at the Fermi energy = 4.75 states/eV per cell; electronic total energy = -4.291 eV/atom; M_tot = 2.362 μB/f.u.; mass density = 6.82 g/cm³; DFT formation energy = 0.58 eV per atom
1.0
4.905 0.000 0.000
0.000 4.905 0.000
0.000 0.000 4.905
Zn Fe
4 4
direct
0.000 0.000 0.000 Zn
0.000 0.500 0.500 Zn
0.500 0.000 0.500 Zn
0.500 0.500 0.000 Zn
0.000 0.000 0.500 Fe
0.000 0.500 0.000 Fe
0.500 0.000 0.000 Fe
0.500 0.500 0.500 Fe

# 2
ZnFe, relaxed, DFT PBE; DOS at the Fermi energy = 8.47 states/eV per cell; electronic total energy = -4.807 eV/atom; M_tot = 2.306 μB/f.u.; mass density = 7.89 g/cm³; DFT formation energy = 0.06 eV per atom
1.0
9.915 0.000 0.000
0.000 2.563 0.000
-1.586 0.000 6.028
Zn Fe
6 6
direct
0.000 0.000 0.000 Zn
0.061 0.000 0.617 Zn
0.389 0.000 0.287 Zn
0.500 0.500 0.000 Zn
0.561 0.500 0.617 Zn
0.889 0.500 0.287 Zn
0.172 0.500 0.332 Fe
0.225 0.500 0.955 Fe
0.328 0.000 0.669 Fe
0.672 0.000 0.332 Fe
0.725 0.000 0.955 Fe
0.828 0.500 0.669 Fe

# 3
ZnFe, relaxed, DFT PBE; DOS at the Fermi energy = 5.36 states/eV per cell; electronic total energy = -4.838 eV/atom; M_tot = 2.313 μB/f.u.; mass density = 7.83 g/cm³; DFT formation energy = 0.03 eV per atom
1.0
3.045 0.000 0.000
0.000 4.105 0.000
0.000 0.000 8.231
Zn Fe
4 4
direct
0.000 0.250 0.137 Zn
0.000 0.750 0.863 Zn
0.500 0.250 0.863 Zn
0.500 0.750 0.137 Zn
0.000 0.250 0.614 Fe
0.000 0.750 0.386 Fe
0.500 0.250 0.386 Fe
0.500 0.750 0.614 Fe

# 4
ZnFe, relaxed, DFT PBE; DOS at the Fermi energy = 13.80 states/eV per cell; electronic total energy = -3.486 eV/atom; M_tot = 2.583 μB/f.u.; mass density = 3.96 g/cm³; DFT formation energy = 1.38 eV per atom
1.0
6.735 0.000 0.000
0.000 6.735 0.000
0.000 0.000 6.735
Zn Fe
6 6
direct
0.000 0.250 0.500 Zn
0.000 0.750 0.500 Zn
0.250 0.500 0.000 Zn
0.500 0.000 0.250 Zn
0.500 0.000 0.750 Zn
0.750 0.500 0.000 Zn
0.000 0.500 0.250 Fe
0.000 0.500 0.750 Fe
0.250 0.000 0.500 Fe
0.500 0.250 0.000 Fe
0.500 0.750 0.000 Fe
0.750 0.000 0.500 Fe

# 5
ZnFe, relaxed, DFT PBE; DOS at the Fermi energy = 4.66 states/eV per cell; electronic total energy = -4.396 eV/atom; M_tot = 2.455 μB/f.u.; mass density = 6.94 g/cm³; DFT formation energy = 0.47 eV per atom
1.0
4.856 0.000 0.000
0.000 4.856 0.000
0.000 0.000 4.919
Zn Fe
4 4
direct
0.183 0.183 0.000 Zn
0.317 0.683 0.500 Zn
0.683 0.317 0.500 Zn
0.817 0.817 0.000 Zn
0.175 0.175 0.500 Fe
0.325 0.675 0.000 Fe
0.675 0.325 0.000 Fe
0.825 0.825 0.500 Fe

# 6
Zn7Fe, relaxed, DFT PBE; DOS at the Fermi energy = 2.69 states/eV per cell; electronic total energy = -2.164 eV/atom; M_tot = 2.126 μB/f.u.; mass density = 7.59 g/cm³; DFT formation energy = 0.01 eV per atom
1.0
0.000 3.830 3.830
3.830 0.000 3.830
3.830 3.830 0.000
Zn Fe
7 1
direct
0.000 0.000 0.000 Zn
0.000 0.000 0.500 Zn
0.000 0.500 0.000 Zn
0.000 0.500 0.500 Zn
0.500 0.000 0.000 Zn
0.500 0.000 0.500 Zn
0.500 0.500 0.000 Zn
0.500 0.500 0.500 Fe

# 7
ZnFe, relaxed, DFT PBE; DOS at the Fermi energy = 9.02 states/eV per cell; electronic total energy = -3.544 eV/atom; M_tot = 2.774 μB/f.u.; mass density = 4.80 g/cm³; DFT formation energy = 1.32 eV per atom
1.0
5.517 0.000 0.000
0.000 5.517 0.000
0.000 0.000 5.517
Zn Fe
4 4
direct
0.000 0.000 0.000 Zn
0.000 0.500 0.500 Zn
0.500 0.000 0.500 Zn
0.500 0.500 0.000 Zn
0.250 0.250 0.250 Fe
0.250 0.750 0.750 Fe
0.750 0.250 0.750 Fe
0.750 0.750 0.250 Fe

# 8
ZnFe, relaxed, DFT PBE; DOS at the Fermi energy = 4.96 states/eV per cell; electronic total energy = -4.814 eV/atom; M_tot = 2.280 μB/f.u.; mass density = 7.94 g/cm³; DFT formation energy = 0.05 eV per atom
1.0
3.709 0.000 0.000
0.000 3.709 0.000
0.000 0.000 7.370
Zn Fe
4 4
direct
0.000 0.250 0.375 Zn
0.000 0.750 0.625 Zn
0.500 0.250 0.125 Zn
0.500 0.750 0.875 Zn
0.000 0.250 0.875 Fe
0.000 0.750 0.125 Fe
0.500 0.250 0.625 Fe
0.500 0.750 0.375 Fe